# 1
# VBiPRu2

VBiPRu2 after structural relaxation (PBE, Alexandria via LeMat-Bulk).

Calculated volume (Å³ per cell): 87.9
Calculated formation energy (eV/atom): 0.25
Size of the total moment (μB/f.u.): 0.00
DOS(E_F) (states/eV/cell): 7.4

Cell: 4.419 4.499 4.419 Å, 90.00 90.00 90.00°
Sites, in units of the cell vectors:
V 0.000 0.500 0.000
P 0.000 0.000 0.000
Bi 0.500 0.500 0.500
Ru 0.500 0.000 0.000
Ru 0.000 0.000 0.500


# 2
# Ba6As2IBr3

Ba6As2IBr3 after structural relaxation (PBE, Alexandria via LeMat-Bulk).

Calculated volume (Å³ per cell): 475.6
Formation energy (no corrections) (eV/atom): -1.552
Size of the total moment (μB/f.u.): 0.00
DOS(E_F) (states/eV/cell): 4.0

Cell: 4.802 9.699 10.730 Å, 102.12 102.93 90.00°
Sites, in units of the cell vectors:
As 0.834 0.669 0.667
As 0.166 0.331 0.333
Ba 0.327 0.435 0.655
Ba 0.672 0.112 0.345
Ba 0.989 0.733 0.979
Ba 0.673 0.565 0.345
Ba 0.328 0.888 0.655
Ba 0.011 0.267 0.021
Br 0.838 0.165 0.675
Br 0.162 0.835 0.325
Br 0.500 0.500 0.000
I 0.500 0.000 0.000


What is the calculated volume in the first record? 87.9 Å³ per cell


Look up the calculated volume of the first one. 87.9 Å³ per cell


Which formula does entry 1 have? VBiPRu2